Below is a geometry-optimized FeRh2W structure, with properties calculated at the GGA-PBE level.

Density (Mg/m³): 13.06
E_tot (eV/atom): -9.101
N(E_F) (states/eV/f.u.): 3.77
Crystal system: orthorhombic
ΔE to the lowest computed polymorph (eV/atom): 0.089
Energy of formation from the pure elements (meV/atom): -72
SG: Cmmm, No. 65

a b c (Å): 4.6571 4.6571 2.7519
angles (deg): 90.00 90.00 108.43
Closest atoms and distances in Å follow each position.
Element x y z (fractional)
Rh 0.0000 0.0000 0.0000  4 W 2.70, 4 Fe 2.70, 4 Rh 2.72-2.75
Rh 0.5000 0.5000 0.0000  4 Fe 2.70, 4 W 2.70, 4 Rh 2.72-2.75
Fe 0.0000 0.5000 0.5000  8 Rh 2.70, 2 W 2.72, 2 Fe 2.75
W 0.5000 0.0000 0.5000  8 Rh 2.70, 2 Fe 2.72, 2 W 2.75